(1)
Compound: Tm2ScBi
Source: the Alexandria database
Functional: PBE
Structure: optimized geometry

```
data_Tm2ScBi
_space_group_name_H-M_alt 'P 1'
_space_group_IT_number 1
_space_group_name_Hall 'P 1'
_cell_length_a 4.666
_cell_length_b 4.796
_cell_length_c 4.796
_cell_angle_alpha 90.00
_cell_angle_beta 90.00
_cell_angle_gamma 90.00
loop_
_atom_site_label
_atom_site_type_symbol
_atom_site_fract_x
_atom_site_fract_y
_atom_site_fract_z
Tm1 Tm 0.000 0.500 0.000
Tm2 Tm 0.000 0.000 0.500
Bi1 Bi 0.500 0.500 0.500
Sc1 Sc 0.500 0.000 0.000
```

Summary:
SG: P4/mmm
Raw total energy, eV/atom: -5.07
Excess energy over the best structure of this formula in the dataset, eV/atom: 0.065



(2)
Compound: ErNpP
Source: the Alexandria database
Functional: PBE
Structure: optimized geometry

```
data_ErNpP
_space_group_name_H-M_alt 'P 1'
_space_group_IT_number 1
_space_group_name_Hall 'P 1'
_cell_length_a 3.869
_cell_length_b 5.424
_cell_length_c 9.987
_cell_angle_alpha 106.67
_cell_angle_beta 91.60
_cell_angle_gamma 44.49
loop_
_atom_site_label
_atom_site_type_symbol
_atom_site_fract_x
_atom_site_fract_y
_atom_site_fract_z
Np1 Np 0.354 0.517 0.159
Np2 Np 0.026 0.134 0.275
Er1 Er 0.549 0.726 0.867
Er2 Er 0.830 0.925 0.566
P1 P 0.830 0.424 0.565
P2 P 0.549 0.227 0.868
```

Summary:
SG: P2_1/m
Raw total energy, eV/atom: -8.39



(3)
Compound: Sm4ZnPd3
Source: the Alexandria database
Functional: PBE
Structure: optimized geometry

```
data_Sm4ZnPd3
_space_group_name_H-M_alt 'P 1'
_space_group_IT_number 1
_space_group_name_Hall 'P 1'
_cell_length_a 3.842
_cell_length_b 4.616
_cell_length_c 10.886
_cell_angle_alpha 90.00
_cell_angle_beta 90.00
_cell_angle_gamma 90.00
loop_
_atom_site_label
_atom_site_type_symbol
_atom_site_fract_x
_atom_site_fract_y
_atom_site_fract_z
Pd1 Pd 0.000 0.500 0.585
Pd2 Pd 0.000 0.000 0.416
Pd3 Pd 0.500 0.000 0.925
Sm1 Sm 0.000 0.500 0.855
Sm2 Sm 0.000 0.000 0.141
Sm3 Sm 0.500 0.500 0.367
Sm4 Sm 0.500 0.000 0.636
Zn1 Zn 0.500 0.500 0.075
```

Summary:
SG: Pmm2
Raw total energy, eV/atom: -5.17



- raw total energy of number 1 (Tm2ScBi)?
  -5.07 eV/atom



- Which of these has the highest raw total energy?
  Tm2ScBi